## BaBeGaAu (GGA-PBE)

Data for a relaxed structure of BaBeGaAu.

Unit cell a=4.9998 b=4.9998 c=4.9998 alpha=60.00 beta=60.00 gamma=60.00
Closest atoms and distances in Å follow each position.
Sites, in units of the cell vectors:
Au 0.7500 0.7500 0.7500  4 Be 3.06, 4 Ga 3.06
Ba 0.2500 0.2500 0.2500  4 Be 3.06, 4 Ga 3.06
Be 0.5000 0.5000 0.5000  4 Au 3.06, 4 Ba 3.06
Ga 0.0000 0.0000 0.0000  4 Ba 3.06, 4 Au 3.06

* distance to the lowest polymorph of the same formula: 0.000 eV/atom
* DFT total energy: -2.84 eV/atom